A relaxed Ga2Cu6P crystal, computed with PBE.

Computed properties:
Final energy = -0.2697 Ry per atom
SG = Fm-3m

a b c (Å): 5.678 5.678 5.678
angles (deg): 60.00 60.00 60.00
Fractional positions:
Ga: 0.250 0.250 0.250
Ga: 0.750 0.750 0.750
Cu: 0.221 0.221 0.779
Cu: 0.221 0.779 0.221
Cu: 0.221 0.779 0.779
Cu: 0.779 0.221 0.221
Cu: 0.779 0.221 0.779
Cu: 0.779 0.779 0.221
P: 0.500 0.500 0.500

---

A relaxed GaCuP crystal, computed with PBE.

Computed properties:
Final energy = -0.2929 Ry per atom
SG = P4/nmm
E above lowest polymorph = 12.9 meV per atom

a b c (Å): 4.138 4.138 5.617
angles (deg): 90.00 90.00 90.00
Fractional positions:
Ga: 0.250 0.750 0.000
Ga: 0.750 0.250 0.000
Cu: 0.250 0.250 0.276
Cu: 0.750 0.750 0.724
P: 0.250 0.750 0.500
P: 0.750 0.250 0.500

---

A relaxed GaCu2P3 crystal, computed with PBE.

Computed properties:
Final energy = -0.3120 Ry per atom
SG = P-4m2

a b c (Å): 4.075 4.075 5.738
angles (deg): 90.00 90.00 90.00
Fractional positions:
Ga: 0.000 0.000 0.000
Cu: 0.000 0.500 0.269
Cu: 0.500 0.000 0.731
P: 0.000 0.000 0.500
P: 0.500 0.500 0.000
P: 0.500 0.500 0.500

---

A relaxed Ga3Cu2P crystal, computed with PBE.

Computed properties:
Final energy = -0.2711 Ry per atom
SG = P-4m2

a b c (Å): 4.122 4.122 5.764
angles (deg): 90.00 90.00 90.00
Fractional positions:
Ga: 0.000 0.000 0.000
Ga: 0.000 0.000 0.500
Ga: 0.500 0.500 0.000
Cu: 0.000 0.500 0.260
Cu: 0.500 0.000 0.740
P: 0.500 0.500 0.500